## 1
# CdOs2 PBE relaxed
data_CdOs2
_chemical_formula_sum 'Cd4 Os8'
_space_group_name_H-M_alt 'C 1 m 1'
_space_group_IT_number 8
_cell_length_a 10.708
_cell_length_b 2.812
_cell_length_c 6.636
_cell_angle_alpha 90.00
_cell_angle_beta 106.25
_cell_angle_gamma 90.00
loop_
_space_group_symop_operation_xyz
'x,y,z'
'x,-y,z'
'x+1/2,y+1/2,z'
'x+1/2,-y+1/2,z'
loop_
_atom_site_label
_atom_site_type_symbol
_atom_site_fract_x
_atom_site_fract_y
_atom_site_fract_z
Cd1 Cd 0.000 0.000 0.000
Cd2 Cd 0.155 0.500 0.338
Os1 Os 0.037 0.000 0.614
Os2 Os 0.227 0.500 0.901
Os3 Os 0.332 0.000 0.651
Os4 Os 0.371 0.000 0.266
# * theoretical density: 17.1 Mg/m³
# * D(E_F): 10.5 states/eV per cell

---

## 2
# CdOs2 PBE relaxed
data_CdOs2
_chemical_formula_sum 'Cd4 Os8'
_space_group_name_H-M_alt 'I 4/m c m'
_space_group_IT_number 140
_space_group_name_Hall '-I 4 2c'
_cell_length_a 6.422
_cell_length_b 6.422
_cell_length_c 4.975
_cell_angle_alpha 90.00
_cell_angle_beta 90.00
_cell_angle_gamma 90.00
loop_
_atom_site_label
_atom_site_type_symbol
_atom_site_fract_x
_atom_site_fract_y
_atom_site_fract_z
Cd1 Cd 0.000 0.000 0.250
Os1 Os 0.129 0.371 0.000
# * theoretical density: 16.0 Mg/m³
# * D(E_F): 12.2 states/eV per cell

---

The computed energies, referenced to the most stable structure and given in meV/atom, are 1 0; 2 642.

---

## 1
# CdOs2 PBE relaxed
data_CdOs2
_chemical_formula_sum 'Cd2 Os4'
_space_group_name_H-M_alt 'P 63/m m c'
_space_group_IT_number 194
_space_group_name_Hall '-P 6c 2c'
_cell_length_a 4.5754
_cell_length_b 4.5754
_cell_length_c 5.3479
_cell_angle_alpha 90.00
_cell_angle_beta 90.00
_cell_angle_gamma 120.00
loop_
_atom_site_label
_atom_site_type_symbol
_atom_site_fract_x
_atom_site_fract_y
_atom_site_fract_z
Cd1 Cd 0.3333 0.6667 0.2500
Os1 Os 0.0000 0.0000 0.0000
Os2 Os 0.3333 0.6667 0.7500
# * theoretical density: 16.9 Mg/m³
# * D(E_F): 8.3 states/eV per cell

---

## 2
# CdOs2 PBE relaxed
data_CdOs2
_chemical_formula_sum 'Cd4 Os8'
_space_group_name_H-M_alt 'P 63/m m c'
_space_group_IT_number 194
_space_group_name_Hall '-P 6c 2c'
_cell_length_a 5.2621
_cell_length_b 5.2621
_cell_length_c 8.4985
_cell_angle_alpha 90.00
_cell_angle_beta 90.00
_cell_angle_gamma 120.00
loop_
_atom_site_label
_atom_site_type_symbol
_atom_site_fract_x
_atom_site_fract_y
_atom_site_fract_z
Cd1 Cd 0.3333 0.6667 0.0674
Os1 Os 0.0000 0.0000 0.0000
Os2 Os 0.1745 0.3489 0.7500
# * theoretical density: 16.1 Mg/m³
# * D(E_F): 12.1 states/eV per cell

---

## 3
# CdOs2 PBE relaxed
data_CdOs2
_chemical_formula_sum 'Cd3 Os6'
_space_group_name_H-M_alt 'P -6 2 m'
_space_group_IT_number 189
_space_group_name_Hall 'P -6 -2'
_cell_length_a 6.6850
_cell_length_b 6.6850
_cell_length_c 4.3592
_cell_angle_alpha 90.00
_cell_angle_beta 90.00
_cell_angle_gamma 120.00
loop_
_atom_site_label
_atom_site_type_symbol
_atom_site_fract_x
_atom_site_fract_y
_atom_site_fract_z
Cd1 Cd 0.0000 0.0000 0.0000
Cd2 Cd 0.3333 0.6667 0.5000
Os1 Os 0.0000 0.2251 0.5000
Os2 Os 0.0000 0.4263 0.0000
# * theoretical density: 14.6 Mg/m³
# * D(E_F): 11.8 states/eV per cell

---

## 4
# CdOs2 PBE relaxed
data_CdOs2
_chemical_formula_sum 'Cd2 Os4'
_space_group_name_H-M_alt 'P 63/m m c'
_space_group_IT_number 194
_space_group_name_Hall '-P 6c 2c'
_cell_length_a 4.3624
_cell_length_b 4.3624
_cell_length_c 6.2328
_cell_angle_alpha 90.00
_cell_angle_beta 90.00
_cell_angle_gamma 120.00
loop_
_atom_site_label
_atom_site_type_symbol
_atom_site_fract_x
_atom_site_fract_y
_atom_site_fract_z
Cd1 Cd 0.0000 0.0000 0.2500
Os1 Os 0.3333 0.6667 0.0451
# * theoretical density: 15.9 Mg/m³
# * D(E_F): 3.9 states/eV per cell

---

The computed energies, referenced to the most stable structure and given in meV/atom, are 1 582; 2 0; 3 754; 4 58.

---

## 1
# CdOs2 PBE relaxed
data_CdOs2
_chemical_formula_sum 'Cd4 Os8'
_space_group_name_H-M_alt 'C 1 2/m 1'
_space_group_IT_number 12
_cell_length_a 10.346
_cell_length_b 2.794
_cell_length_c 6.896
_cell_angle_alpha 90.00
_cell_angle_beta 104.99
_cell_angle_gamma 90.00
loop_
_space_group_symop_operation_xyz
'x,y,z'
'-x,-y,-z'
'-x,y,-z'
'x,-y,z'
'x+1/2,y+1/2,z'
'-x+1/2,-y+1/2,-z'
'-x+1/2,y+1/2,-z'
'x+1/2,-y+1/2,z'
loop_
_atom_site_label
_atom_site_type_symbol
_atom_site_fract_x
_atom_site_fract_y
_atom_site_fract_z
Cd1 Cd 0.136 0.000 0.028
Os1 Os 0.030 0.500 0.334
Os2 Os 0.190 0.000 0.622
# * theoretical density: 17.0 Mg/m³
# * D(E_F): 7.7 states/eV per cell

---

## 2
# CdOs2 PBE relaxed
data_CdOs2
_chemical_formula_sum 'Cd4 Os8'
_space_group_name_H-M_alt 'P n m a'
_space_group_IT_number 62
_cell_length_a 5.650
_cell_length_b 4.000
_cell_length_c 8.657
_cell_angle_alpha 90.00
_cell_angle_beta 90.00
_cell_angle_gamma 90.00
loop_
_space_group_symop_operation_xyz
'x,y,z'
'-x,-y,-z'
'-x+1/2,-y,z+1/2'
'x+1/2,y,-z+1/2'
'x+1/2,-y+1/2,-z+1/2'
'-x+1/2,y+1/2,z+1/2'
'-x,y+1/2,-z'
'x,-y+1/2,z'
loop_
_atom_site_label
_atom_site_type_symbol
_atom_site_fract_x
_atom_site_fract_y
_atom_site_fract_z
Cd1 Cd 0.108 0.250 0.085
Os1 Os 0.100 0.250 0.416
Os2 Os 0.105 0.250 0.724
# * theoretical density: 16.7 Mg/m³
# * D(E_F): 13.3 states/eV per cell

---

## 3
# CdOs2 PBE relaxed
data_CdOs2
_chemical_formula_sum 'Cd4 Os8'
_space_group_name_H-M_alt 'I 41/a m d'
_space_group_IT_number 141
_cell_length_a 3.939
_cell_length_b 3.939
_cell_length_c 15.145
_cell_angle_alpha 90.00
_cell_angle_beta 90.00
_cell_angle_gamma 90.00
loop_
_space_group_symop_operation_xyz
'x,y,z'
'-x,-y,-z'
'-y+1/4,x+3/4,z+1/4'
'y+1/4,-x+3/4,-z+1/4'
'-x+1/2,-y,z+1/2'
'x+1/2,y,-z+1/2'
'y+1/4,-x+1/4,z+3/4'
'-y+1/4,x+1/4,-z+3/4'
'x,-y,-z'
'-x,y,z'
'-y+1/4,-x+1/4,-z+3/4'
'y+1/4,x+1/4,z+3/4'
'-x+1/2,y,-z+1/2'
'x+1/2,-y,z+1/2'
'y+1/4,x+3/4,-z+1/4'
'-y+1/4,-x+3/4,z+1/4'
'x+1/2,y+1/2,z+1/2'
'-x+1/2,-y+1/2,-z+1/2'
'-y+3/4,x+1/4,z+3/4'
'y+3/4,-x+1/4,-z+3/4'
'-x,-y+1/2,z'
'x,y+1/2,-z'
'y+3/4,-x+3/4,z+1/4'
'-y+3/4,x+3/4,-z+1/4'
'x+1/2,-y+1/2,-z+1/2'
'-x+1/2,y+1/2,z+1/2'
'-y+3/4,-x+3/4,-z+1/4'
'y+3/4,x+3/4,z+1/4'
'-x,y+1/2,-z'
'x,-y+1/2,z'
'y+3/4,x+1/4,-z+3/4'
'-y+3/4,-x+1/4,z+3/4'
loop_
_atom_site_label
_atom_site_type_symbol
_atom_site_fract_x
_atom_site_fract_y
_atom_site_fract_z
Cd1 Cd 0.000 0.250 0.375
Os1 Os 0.000 0.250 0.795
# * theoretical density: 13.9 Mg/m³
# * D(E_F): 13.6 states/eV per cell

---

## 4
# CdOs2 PBE relaxed
data_CdOs2
_chemical_formula_sum 'Cd4 Os8'
_space_group_name_H-M_alt 'C m c m'
_space_group_IT_number 63
_space_group_name_Hall '-C 2c 2'
_cell_length_a 3.853
_cell_length_b 12.631
_cell_length_c 3.995
_cell_angle_alpha 90.00
_cell_angle_beta 90.00
_cell_angle_gamma 90.00
loop_
_atom_site_label
_atom_site_type_symbol
_atom_site_fract_x
_atom_site_fract_y
_atom_site_fract_z
Cd1 Cd 0.000 0.078 0.250
Os1 Os 0.000 0.250 0.750
Os2 Os 0.000 0.394 0.250
# * theoretical density: 16.8 Mg/m³
# * D(E_F): 11.9 states/eV per cell

---

The computed energies, referenced to the most stable structure and given in meV/atom, are 1 0; 2 352; 3 593; 4 318.

---

## 1
# Cd5Os PBE relaxed
data_Cd5Os
_chemical_formula_sum 'Cd10 Os2'
_space_group_name_H-M_alt 'C 1 m 1'
_space_group_IT_number 8
_cell_length_a 11.290
_cell_length_b 3.012
_cell_length_c 7.320
_cell_angle_alpha 90.00
_cell_angle_beta 106.69
_cell_angle_gamma 90.00
loop_
_space_group_symop_operation_xyz
'x,y,z'
'x,-y,z'
'x+1/2,y+1/2,z'
'x+1/2,-y+1/2,z'
loop_
_atom_site_label
_atom_site_type_symbol
_atom_site_fract_x
_atom_site_fract_y
_atom_site_fract_z
Cd1 Cd 0.000 0.000 0.000
Cd2 Cd 0.042 0.000 0.622
Cd3 Cd 0.164 0.500 0.337
Cd4 Cd 0.310 0.000 0.695
Cd5 Cd 0.377 0.000 0.262
Os1 Os 0.212 0.500 0.958
# * theoretical density: 10.5 Mg/m³
# * D(E_F): 5.2 states/eV per cell

---

## 2
# Cd5Os PBE relaxed
data_Cd5Os
_chemical_formula_sum 'Cd20 Os4'
_space_group_name_H-M_alt 'F -4 3 m'
_space_group_IT_number 216
_space_group_name_Hall 'F -4 2 3'
_cell_length_a 7.842
_cell_length_b 7.842
_cell_length_c 7.842
_cell_angle_alpha 90.00
_cell_angle_beta 90.00
_cell_angle_gamma 90.00
loop_
_atom_site_label
_atom_site_type_symbol
_atom_site_fract_x
_atom_site_fract_y
_atom_site_fract_z
Cd1 Cd 0.000 0.000 0.000
Cd2 Cd 0.124 0.124 0.376
Os1 Os 0.250 0.250 0.750
# * theoretical density: 10.4 Mg/m³
# * D(E_F): 13.9 states/eV per cell

---

The computed energies, referenced to the most stable structure and given in meV/atom, are 1 0; 2 317.

---

## 1
# Cd5Os PBE relaxed
data_Cd5Os
_chemical_formula_sum 'Cd5 Os1'
_space_group_name_H-M_alt 'P 6/m m m'
_space_group_IT_number 191
_space_group_name_Hall '-P 6 2'
_cell_length_a 5.4499
_cell_length_b 5.4499
_cell_length_c 5.0092
_cell_angle_alpha 90.00
_cell_angle_beta 90.00
_cell_angle_gamma 120.00
loop_
_atom_site_label
_atom_site_type_symbol
_atom_site_fract_x
_atom_site_fract_y
_atom_site_fract_z
Cd1 Cd 0.0000 0.5000 0.0000
Cd2 Cd 0.3333 0.6667 0.5000
Os1 Os 0.0000 0.0000 0.5000
# * theoretical density: 9.7 Mg/m³
# * D(E_F): 3.4 states/eV per cell

---

## 2
# Cd5Os PBE relaxed
data_Cd5Os
_chemical_formula_sum 'Cd10 Os2'
_space_group_name_H-M_alt 'A m m 2'
_space_group_IT_number 38
_cell_length_a 4.809
_cell_length_b 2.994
_cell_length_c 16.755
_cell_angle_alpha 90.00
_cell_angle_beta 90.00
_cell_angle_gamma 90.00
loop_
_space_group_symop_operation_xyz
'x,y,z'
'-x,-y,z'
'-x,y,z'
'x,-y,z'
'x,y+1/2,z+1/2'
'-x,-y+1/2,z+1/2'
'-x,y+1/2,z+1/2'
'x,-y+1/2,z+1/2'
loop_
_atom_site_label
_atom_site_type_symbol
_atom_site_fract_x
_atom_site_fract_y
_atom_site_fract_z
Cd1 Cd 0.000 0.000 0.000
Cd2 Cd 0.000 0.000 0.302
Cd3 Cd 0.500 0.000 0.198
Cd4 Cd 0.500 0.000 0.546
Cd5 Cd 0.500 0.000 0.878
Os1 Os 0.000 0.000 0.651
# * theoretical density: 10.4 Mg/m³
# * D(E_F): 7.4 states/eV per cell

---

The computed energies, referenced to the most stable structure and given in meV/atom, are 1 480; 2 0.

---

## 1
# CdPOs2 PBE relaxed
data_CdPOs2
_chemical_formula_sum 'Cd2 P2 Os4'
_space_group_name_H-M_alt 'C 1 m 1'
_space_group_IT_number 8
_cell_length_a 10.140
_cell_length_b 2.867
_cell_length_c 5.243
_cell_angle_alpha 90.00
_cell_angle_beta 117.82
_cell_angle_gamma 90.00
loop_
_space_group_symop_operation_xyz
'x,y,z'
'x,-y,z'
'x+1/2,y+1/2,z'
'x+1/2,-y+1/2,z'
loop_
_atom_site_label
_atom_site_type_symbol
_atom_site_fract_x
_atom_site_fract_y
_atom_site_fract_z
Cd1 Cd 0.000 0.000 0.000
P1 P 0.187 0.000 0.725
Os1 Os 0.252 0.500 0.439
Os2 Os 0.473 0.000 0.458
# * theoretical density: 12.9 Mg/m³
# * D(E_F): 8.0 states/eV per cell

---

## 2
# CdPOs2 PBE relaxed
data_CdPOs2
_chemical_formula_sum 'Cd1 P1 Os2'
_space_group_name_H-M_alt 'P m m m'
_space_group_IT_number 47
_cell_length_a 2.908
_cell_length_b 4.497
_cell_length_c 4.812
_cell_angle_alpha 90.00
_cell_angle_beta 90.00
_cell_angle_gamma 90.00
loop_
_space_group_symop_operation_xyz
'x,y,z'
'-x,-y,-z'
'-x,-y,z'
'x,y,-z'
'x,-y,-z'
'-x,y,z'
'-x,y,-z'
'x,-y,z'
loop_
_atom_site_label
_atom_site_type_symbol
_atom_site_fract_x
_atom_site_fract_y
_atom_site_fract_z
Cd1 Cd 0.000 0.000 0.000
P1 P 0.500 0.000 0.500
Os1 Os 0.000 0.500 0.500
Os2 Os 0.500 0.500 0.000
# * theoretical density: 13.8 Mg/m³
# * D(E_F): 4.4 states/eV per cell

---

The computed energies, referenced to the most stable structure and given in meV/atom, are 1 0; 2 470.

---

## 1
# CdPOs2 PBE relaxed
data_CdPOs2
_chemical_formula_sum 'Cd2 P2 Os4'
_space_group_name_H-M_alt 'I -4 m 2'
_space_group_IT_number 119
_space_group_name_Hall 'I -4 -2'
_cell_length_a 4.073
_cell_length_b 4.073
_cell_length_c 7.484
_cell_angle_alpha 90.00
_cell_angle_beta 90.00
_cell_angle_gamma 90.00
loop_
_atom_site_label
_atom_site_type_symbol
_atom_site_fract_x
_atom_site_fract_y
_atom_site_fract_z
Cd1 Cd 0.000 0.000 0.000
P1 P 0.000 0.500 0.250
Os1 Os 0.000 0.000 0.500
Os2 Os 0.000 0.500 0.750
# * theoretical density: 14.0 Mg/m³
# * D(E_F): 6.6 states/eV per cell

---

## 2
# CdPOs2 PBE relaxed
data_CdPOs2
_chemical_formula_sum 'Cd2 P2 Os4'
_space_group_name_H-M_alt 'I m m 2'
_space_group_IT_number 44
_cell_length_a 2.906
_cell_length_b 3.106
_cell_length_c 14.482
_cell_angle_alpha 90.00
_cell_angle_beta 90.00
_cell_angle_gamma 90.00
loop_
_space_group_symop_operation_xyz
'x,y,z'
'-x,-y,z'
'-x,y,z'
'x,-y,z'
'x+1/2,y+1/2,z+1/2'
'-x+1/2,-y+1/2,z+1/2'
'-x+1/2,y+1/2,z+1/2'
'x+1/2,-y+1/2,z+1/2'
loop_
_atom_site_label
_atom_site_type_symbol
_atom_site_fract_x
_atom_site_fract_y
_atom_site_fract_z
Cd1 Cd 0.000 0.000 0.000
P1 P 0.000 0.500 0.243
Os1 Os 0.000 0.000 0.359
Os2 Os 0.000 0.500 0.673
# * theoretical density: 13.3 Mg/m³
# * D(E_F): 3.7 states/eV per cell

---

## 3
# CdPOs2 PBE relaxed
data_CdPOs2
_chemical_formula_sum 'Cd1 P1 Os2'
_space_group_name_H-M_alt 'P m m 2'
_space_group_IT_number 25
_cell_length_a 2.849
_cell_length_b 3.604
_cell_length_c 6.344
_cell_angle_alpha 90.00
_cell_angle_beta 90.00
_cell_angle_gamma 90.00
loop_
_space_group_symop_operation_xyz
'x,y,z'
'-x,-y,z'
'-x,y,z'
'x,-y,z'
loop_
_atom_site_label
_atom_site_type_symbol
_atom_site_fract_x
_atom_site_fract_y
_atom_site_fract_z
Cd1 Cd 0.000 0.000 0.000
P1 P 0.500 0.500 0.660
Os1 Os 0.000 0.000 0.520
Os2 Os 0.500 0.500 0.285
# * theoretical density: 13.4 Mg/m³
# * D(E_F): 3.5 states/eV per cell

---

## 4
# CdPOs2 PBE relaxed
data_CdPOs2
_chemical_formula_sum 'Cd2 P2 Os4'
_space_group_name_H-M_alt 'C m m 2'
_space_group_IT_number 35
_cell_length_a 2.817
_cell_length_b 4.731
_cell_length_c 10.584
_cell_angle_alpha 90.00
_cell_angle_beta 90.00
_cell_angle_gamma 90.00
loop_
_space_group_symop_operation_xyz
'x,y,z'
'-x,-y,z'
'-x,y,z'
'x,-y,z'
'x+1/2,y+1/2,z'
'-x+1/2,-y+1/2,z'
'-x+1/2,y+1/2,z'
'x+1/2,-y+1/2,z'
loop_
_atom_site_label
_atom_site_type_symbol
_atom_site_fract_x
_atom_site_fract_y
_atom_site_fract_z
Cd1 Cd 0.000 0.000 0.000
P1 P 0.000 0.500 0.650
Os1 Os 0.000 0.000 0.468
Os2 Os 0.000 0.500 0.249
# * theoretical density: 12.3 Mg/m³
# * D(E_F): 8.4 states/eV per cell

---

The computed energies, referenced to the most stable structure and given in meV/atom, are 1 606; 2 0; 3 148; 4 295.

---

## 1
# CdPOs2 PBE relaxed
data_CdPOs2
_chemical_formula_sum 'Cd1 P1 Os2'
_space_group_name_H-M_alt 'P 4 m m'
_space_group_IT_number 99
_cell_length_a 2.854
_cell_length_b 2.854
_cell_length_c 8.068
_cell_angle_alpha 90.00
_cell_angle_beta 90.00
_cell_angle_gamma 90.00
loop_
_space_group_symop_operation_xyz
'x,y,z'
'-y,x,z'
'-x,-y,z'
'y,-x,z'
'-x,y,z'
'y,x,z'
'x,-y,z'
'-y,-x,z'
loop_
_atom_site_label
_atom_site_type_symbol
_atom_site_fract_x
_atom_site_fract_y
_atom_site_fract_z
Cd1 Cd 0.000 0.000 0.000
P1 P 0.500 0.500 0.663
Os1 Os 0.000 0.000 0.484
Os2 Os 0.500 0.500 0.258
# * theoretical density: 13.2 Mg/m³
# * D(E_F): 2.2 states/eV per cell

---

## 2
# CdPOs2 PBE relaxed
data_CdPOs2
_chemical_formula_sum 'Cd1 P1 Os2'
_space_group_name_H-M_alt 'P 4/m m m'
_space_group_IT_number 123
_space_group_name_Hall '-P 4 2'
_cell_length_a 4.377
_cell_length_b 4.377
_cell_length_c 3.116
_cell_angle_alpha 90.00
_cell_angle_beta 90.00
_cell_angle_gamma 90.00
loop_
_atom_site_label
_atom_site_type_symbol
_atom_site_fract_x
_atom_site_fract_y
_atom_site_fract_z
Cd1 Cd 0.000 0.000 0.000
P1 P 0.500 0.500 0.000
Os1 Os 0.000 0.500 0.500
# * theoretical density: 14.6 Mg/m³
# * D(E_F): 4.6 states/eV per cell

---

The computed energies, referenced to the most stable structure and given in meV/atom, are 1 0; 2 522.